1.
# PmBO2

An optimized crystal structure of PmBO2 (PBE-GGA, Alexandria).

Values from the calculation:
Uncorrected formation energy   -620 meV/atom
Crystal system   trigonal

a = 2.804 Å, b = 2.804 Å, c = 6.704 Å
α = 77.93°, β = 77.93°, γ = 60.00°
Element x y z (fractional)
B  0.500  0.500  0.500
Pm  0.000  0.000  0.000
O  0.877  0.877  0.368
O  0.123  0.123  0.632

---

2.
# Sm6Al5Ag

An optimized crystal structure of Sm6Al5Ag (PBE-GGA, Alexandria).

Values from the calculation:
Crystal system   orthorhombic
Formation energy from the elements   -0.3446 eV per atom

a = 5.225 Å, b = 7.397 Å, c = 8.264 Å
α = 90.00°, β = 71.57°, γ = 90.00°
Element x y z (fractional)
Sm  0.834  0.750  0.333
Sm  0.500  0.250  0.000
Sm  0.500  0.750  0.000
Sm  0.834  0.250  0.333
Sm  0.166  0.250  0.667
Sm  0.166  0.750  0.667
Al  0.333  0.500  0.333
Al  0.665  0.000  0.669
Al  0.667  0.500  0.667
Al  0.000  0.500  0.000
Al  0.335  0.000  0.331
Ag  0.000  0.000  0.000

---

3.
# Ce2TlBi

An optimized crystal structure of Ce2TlBi (PBE-GGA, Alexandria).

Values from the calculation:
Crystal system   trigonal
Energy relative to the lowest polymorph listed for this composition   149 meV/atom
Formation energy from the elements   -0.2976 eV per atom

a = 4.271 Å, b = 4.271 Å, c = 8.994 Å
α = 76.27°, β = 76.27°, γ = 60.00°
Each line ends with the local moment (μB).
Element x y z (fractional)
Tl  0.499  0.499  0.502  0.02
Ce  0.079  0.079  0.764  0.84
Ce  0.255  0.255  0.236  0.88
Bi  0.667  0.667  0.998  -0.05

---

4.
# YMgB

An optimized crystal structure of YMgB (PBE-GGA, Alexandria).

Values from the calculation:
Crystal system   orthorhombic
Energy relative to the lowest polymorph listed for this composition   0 meV/atom
Formation energy from the elements   -0.2763 eV per atom

a = 3.566 Å, b = 10.799 Å, c = 3.221 Å
α = 72.64°, β = 89.99°, γ = 99.50°
Element x y z (fractional)
B  0.234  0.655  0.884
B  0.263  0.713  0.326
Y  0.669  0.525  0.515
Y  0.828  0.844  0.696
Mg  0.046  0.280  0.260
Mg  0.450  0.089  0.951

---

5.
# Pa3Si2Tc2

An optimized crystal structure of Pa3Si2Tc2 (PBE-GGA, Alexandria).

Values from the calculation:
Uncorrected formation energy   -511 meV/atom
Crystal system   orthorhombic

a = 5.418 Å, b = 7.786 Å, c = 13.250 Å
α = 90.00°, β = 90.00°, γ = 90.00°
Element x y z (fractional)
Tc  0.348  0.532  0.592
Tc  0.652  0.468  0.408
Tc  0.348  0.968  0.092
Tc  0.348  0.532  0.908
Tc  0.348  0.968  0.408
Tc  0.652  0.032  0.592
Tc  0.652  0.468  0.092
Tc  0.652  0.032  0.908
Si  0.360  0.250  0.500
Si  0.640  0.750  0.500
Si  0.640  0.750  0.000
Si  0.117  0.618  0.750
Si  0.360  0.250  0.000
Si  0.883  0.382  0.250
Si  0.883  0.118  0.750
Si  0.117  0.882  0.250
Pa  0.377  0.269  0.750
Pa  0.843  0.093  0.398
Pa  0.377  0.231  0.250
Pa  0.157  0.907  0.898
Pa  0.157  0.593  0.398
Pa  0.157  0.593  0.102
Pa  0.843  0.407  0.602
Pa  0.843  0.093  0.102
Pa  0.843  0.407  0.898
Pa  0.157  0.907  0.602
Pa  0.623  0.731  0.250
Pa  0.623  0.769  0.750

---

6.
# Pm6MgGa3

An optimized crystal structure of Pm6MgGa3 (PBE-GGA, Alexandria).

Values from the calculation:
Crystal system   monoclinic
Formation energy from the elements   -0.3339 eV per atom

a = 5.154 Å, b = 9.580 Å, c = 11.542 Å
α = 106.66°, β = 90.00°, γ = 90.00°
Element x y z (fractional)
Ga  0.250  0.536  0.384
Ga  0.250  0.778  0.972
Ga  0.750  0.464  0.616
Ga  0.250  0.380  0.790
Ga  0.750  0.620  0.210
Ga  0.750  0.222  0.028
Pm  0.250  0.814  0.295
Pm  0.250  0.650  0.686
Pm  0.750  0.186  0.705
Pm  0.750  0.726  0.494
Pm  0.750  0.545  0.910
Pm  0.750  0.350  0.314
Pm  0.750  0.886  0.121
Pm  0.250  0.118  0.151
Pm  0.750  0.882  0.849
Pm  0.250  0.455  0.090
Pm  0.250  0.274  0.506
Pm  0.250  0.114  0.879
Mg  0.250  0.960  0.591
Mg  0.750  0.040  0.409

---

7.
# PrTmThZr

An optimized crystal structure of PrTmThZr (PBE-GGA, Alexandria).

Values from the calculation:
Crystal system   cubic
Formation energy from the elements   0.1617 eV per atom

a = 5.514 Å, b = 5.514 Å, c = 5.514 Å
α = 60.00°, β = 60.00°, γ = 60.00°
Element x y z (fractional)
Th  0.000  0.000  0.000
Tm  0.750  0.750  0.750
Pr  0.500  0.500  0.500
Zr  0.250  0.250  0.250

---

8.
# TaPb2Au

An optimized crystal structure of TaPb2Au (PBE-GGA, Alexandria).

Values from the calculation:
Crystal system   orthorhombic
Energy relative to the lowest polymorph listed for this composition   203 meV/atom
Formation energy from the elements   0.3621 eV per atom

a = 6.544 Å, b = 6.544 Å, c = 6.544 Å
α = 152.36°, β = 132.92°, γ = 55.48°
Element x y z (fractional)
Pb  0.016  0.016  0.000
Pb  0.723  0.223  0.500
Au  0.280  0.780  0.500
Ta  0.481  0.481  0.000

---

9.
# AlSb2Te

An optimized crystal structure of AlSb2Te (PBE-GGA, Alexandria).

Values from the calculation:
Uncorrected formation energy   187 meV/atom
Crystal system   orthorhombic
Energy relative to the lowest polymorph listed for this composition   274 meV/atom

a = 3.600 Å, b = 3.600 Å, c = 9.423 Å
α = 90.00°, β = 90.00°, γ = 113.00°
Element x y z (fractional)
Te  0.000  0.000  0.560
Sb  0.500  0.500  0.214
Sb  0.000  0.000  0.977
Al  0.500  0.500  0.749

---

10.
# Ac3Ge4Ir2

An optimized crystal structure of Ac3Ge4Ir2 (PBE-GGA, Alexandria).

Values from the calculation:
Crystal system   monoclinic
Energy relative to the lowest polymorph listed for this composition   49 meV/atom
Formation energy from the elements   -0.7224 eV per atom

a = 4.446 Å, b = 6.380 Å, c = 8.712 Å
α = 107.64°, β = 90.00°, γ = 110.39°
Element x y z (fractional)
Ge  0.289  0.577  0.921
Ge  0.711  0.423  0.079
Ge  0.887  0.775  0.605
Ge  0.113  0.225  0.395
Ac  0.000  0.000  0.000
Ac  0.612  0.225  0.692
Ac  0.388  0.775  0.308
Ir  0.301  0.601  0.635
Ir  0.699  0.399  0.365

---

11.
# KCo3P

An optimized crystal structure of KCo3P (PBE-GGA, Alexandria).

Values from the calculation:
Crystal system   cubic
Energy relative to the lowest polymorph listed for this composition   2067 meV/atom
Formation energy from the elements   2.5258 eV per atom

a = 4.446 Å, b = 4.446 Å, c = 4.446 Å
α = 90.00°, β = 90.00°, γ = 90.00°
Each line ends with the local moment (μB).
Element x y z (fractional)
P  0.500  0.500  0.500  0.13
Co  0.000  0.500  0.000  1.81
Co  0.500  0.000  0.000  1.78
Co  0.000  0.000  0.500  1.25
K  0.000  0.000  0.000  -0.06

---

12.
# NdTm2Pd

An optimized crystal structure of NdTm2Pd (PBE-GGA, Alexandria).

Values from the calculation:
Crystal system   monoclinic
Energy relative to the lowest polymorph listed for this composition   11 meV/atom
Formation energy from the elements   -0.4579 eV per atom

a = 3.750 Å, b = 6.597 Å, c = 9.127 Å
α = 90.00°, β = 90.00°, γ = 106.58°
Element x y z (fractional)
Tm  0.639  0.277  0.441
Tm  0.361  0.723  0.941
Tm  0.361  0.723  0.559
Tm  0.639  0.277  0.059
Pd  0.761  0.523  0.750
Pd  0.239  0.477  0.250
Nd  0.943  0.887  0.250
Nd  0.057  0.113  0.750